1) YCuCl2: optimized geometry, GGA-PBE.

Cell: 5.075 5.075 5.075 Å, 128.02 128.02 76.59°
Fractional positions:
Y  0.000  0.000  0.000
Cu  0.500  0.500  0.000
Cl  0.250  0.750  0.500
Cl  0.750  0.250  0.500

Summary:
M_tot = 0.00 μB/f.u.
ρ = 4.706 g/cm³



2) YCuCl2: optimized geometry, GGA-PBE.

Cell: 4.037 4.371 4.416 Å, 90.00 90.00 90.00°
Fractional positions:
Y  0.000  0.000  0.000
Cu  0.000  0.500  0.500
Cl  0.500  0.000  0.500
Cl  0.500  0.500  0.000

Summary:
M_tot = 0.00 μB/f.u.
ρ = 4.760 g/cm³



Winner for stability: 1)